Entry from Alexandria: a geometry-optimized CsSc3V structure (PBE-GGA).

Cell and atoms, written as CIF:
```
data_CsSc3V
_chemical_formula_sum 'Cs1 Sc3 V1'
_symmetry_space_group_name_H-M 'P m -3 m'
_symmetry_Int_Tables_number 221
_symmetry_space_group_name_Hall '-P 4 2 3'
_cell_length_a 5.338
_cell_length_b 5.338
_cell_length_c 5.338
_cell_angle_alpha 90.00
_cell_angle_beta 90.00
_cell_angle_gamma 90.00
loop_
_atom_site_label
_atom_site_type_symbol
_atom_site_fract_x
_atom_site_fract_y
_atom_site_fract_z
Cs1 Cs 0.000 0.000 0.000
Sc1 Sc 0.000 0.500 0.500
V1 V 0.500 0.500 0.500
```

Values from the calculation:
Formation energy from the elements (eV/atom): 0.753
Total DFT energy (no corrections) (eV/atom): -5.04

---

Entry from Alexandria: a geometry-optimized CsSc2W2 structure (PBE-GGA).

Cell and atoms, written as CIF:
```
data_CsSc2W2
_chemical_formula_sum 'Cs2 Sc4 W4'
_symmetry_space_group_name_H-M 'I 4/m m m'
_symmetry_Int_Tables_number 139
_symmetry_space_group_name_Hall '-I 4 2'
_cell_length_a 3.735
_cell_length_b 3.735
_cell_length_c 23.646
_cell_angle_alpha 90.00
_cell_angle_beta 90.00
_cell_angle_gamma 90.00
loop_
_atom_site_label
_atom_site_type_symbol
_atom_site_fract_x
_atom_site_fract_y
_atom_site_fract_z
Cs1 Cs 0.000 0.000 0.000
Sc1 Sc 0.000 0.000 0.342
W1 W 0.000 0.500 0.250
```

Values from the calculation:
Formation energy from the elements (eV/atom): 0.776
Total DFT energy (no corrections) (eV/atom): -7.11

---

Entry from Alexandria: a geometry-optimized CsScW3 structure (PBE-GGA).

Cell and atoms, written as CIF:
```
data_CsScW3
_chemical_formula_sum 'Cs1 Sc1 W3'
_symmetry_space_group_name_H-M 'P m -3 m'
_symmetry_Int_Tables_number 221
_symmetry_space_group_name_Hall '-P 4 2 3'
_cell_length_a 4.940
_cell_length_b 4.940
_cell_length_c 4.940
_cell_angle_alpha 90.00
_cell_angle_beta 90.00
_cell_angle_gamma 90.00
loop_
_atom_site_label
_atom_site_type_symbol
_atom_site_fract_x
_atom_site_fract_y
_atom_site_fract_z
Cs1 Cs 0.000 0.000 0.000
Sc1 Sc 0.500 0.500 0.500
W1 W 0.000 0.000 0.500
```

Values from the calculation:
Formation energy from the elements (eV/atom): 3.462
Total DFT energy (no corrections) (eV/atom): -5.75

---

Entry from Alexandria: a geometry-optimized CsScW2 structure (PBE-GGA).

Cell and atoms, written as CIF:
```
data_CsScW2
_chemical_formula_sum 'Cs4 Sc4 W8'
_symmetry_space_group_name_H-M 'F m -3 m'
_symmetry_Int_Tables_number 225
_symmetry_space_group_name_Hall '-F 4 2 3'
_cell_length_a 6.904
_cell_length_b 6.904
_cell_length_c 6.904
_cell_angle_alpha 90.00
_cell_angle_beta 90.00
_cell_angle_gamma 90.00
loop_
_atom_site_label
_atom_site_type_symbol
_atom_site_fract_x
_atom_site_fract_y
_atom_site_fract_z
Cs1 Cs 0.000 0.000 0.000
Sc1 Sc 0.000 0.000 0.500
W1 W 0.250 0.250 0.250
```

Values from the calculation:
Formation energy from the elements (eV/atom): 2.138
Total DFT energy (no corrections) (eV/atom): -6.13

---

Entry from Alexandria: a geometry-optimized CsSc3W structure (PBE-GGA).

Cell and atoms, written as CIF:
```
data_CsSc3W
_chemical_formula_sum 'Cs1 Sc3 W1'
_symmetry_space_group_name_H-M 'P m -3 m'
_symmetry_Int_Tables_number 221
_symmetry_space_group_name_Hall '-P 4 2 3'
_cell_length_a 5.069
_cell_length_b 5.069
_cell_length_c 5.069
_cell_angle_alpha 90.00
_cell_angle_beta 90.00
_cell_angle_gamma 90.00
loop_
_atom_site_label
_atom_site_type_symbol
_atom_site_fract_x
_atom_site_fract_y
_atom_site_fract_z
Cs1 Cs 0.000 0.000 0.000
Sc1 Sc 0.000 0.000 0.500
W1 W 0.500 0.500 0.500
```

Values from the calculation:
Formation energy from the elements (eV/atom): 2.181
Total DFT energy (no corrections) (eV/atom): -4.38

---

Entry from Alexandria: a geometry-optimized CsSc3W structure (PBE-GGA).

Cell and atoms, written as CIF:
```
data_CsSc3W
_chemical_formula_sum 'Cs1 Sc3 W1'
_symmetry_space_group_name_H-M 'P m -3 m'
_symmetry_Int_Tables_number 221
_symmetry_space_group_name_Hall '-P 4 2 3'
_cell_length_a 5.360
_cell_length_b 5.360
_cell_length_c 5.360
_cell_angle_alpha 90.00
_cell_angle_beta 90.00
_cell_angle_gamma 90.00
loop_
_atom_site_label
_atom_site_type_symbol
_atom_site_fract_x
_atom_site_fract_y
_atom_site_fract_z
Cs1 Cs 0.000 0.000 0.000
Sc1 Sc 0.000 0.500 0.500
W1 W 0.500 0.500 0.500
```

Values from the calculation:
Formation energy from the elements (eV/atom): 0.777
Total DFT energy (no corrections) (eV/atom): -5.78